Entry 1:
Material: Sm6CN3
Method: DFT, PBE
State: optimized geometry

a b c (Å): 6.969 6.969 6.969
angles (deg): 52.73 52.73 52.73
Element x y z (fractional)
Sm: 0.001 0.675 0.323
Sm: 0.178 0.508 0.814
Sm: 0.323 0.001 0.675
Sm: 0.508 0.814 0.178
Sm: 0.675 0.323 0.001
Sm: 0.814 0.178 0.508
C: 0.090 0.090 0.090
N: 0.411 0.411 0.411
N: 0.589 0.589 0.589
N: 0.911 0.911 0.911

Output
Calculated total energy, eV per atom: -7.058
Calculated density, Mg/m³: 8.00
Density of states at the Fermi level, states/eV/cell: 7.496

---

Entry 2:
Material: Sm5CN2
Method: DFT, PBE
State: optimized geometry

a b c (Å): 6.446 6.446 11.834
angles (deg): 90.00 90.00 133.85
Element x y z (fractional)
Sm: 0.053 0.947 0.618
Sm: 0.053 0.947 0.882
Sm: 0.252 0.748 0.250
Sm: 0.333 0.667 0.565
Sm: 0.333 0.667 0.935
Sm: 0.667 0.333 0.065
Sm: 0.667 0.333 0.435
Sm: 0.748 0.252 0.750
Sm: 0.947 0.053 0.118
Sm: 0.947 0.053 0.382
C: 0.214 0.786 0.750
C: 0.786 0.214 0.250
N: 0.160 0.840 0.056
N: 0.160 0.840 0.444
N: 0.840 0.160 0.556
N: 0.840 0.160 0.944

Output
Calculated total energy, eV per atom: -6.829
Calculated density, Mg/m³: 7.42
Density of states at the Fermi level, states/eV/cell: 8.975

---

Entry 3:
Material: Sm5CN4
Method: DFT, PBE
State: optimized geometry

a b c (Å): 6.263 6.263 6.263
angles (deg): 99.45 99.45 132.18
Element x y z (fractional)
Sm: 0.000 0.000 0.000
Sm: 0.193 0.603 0.799
Sm: 0.394 0.193 0.590
Sm: 0.603 0.804 0.410
Sm: 0.804 0.394 0.201
C: 0.506 0.506 0.000
N: 0.105 0.308 0.400
N: 0.308 0.908 0.203
N: 0.705 0.105 0.797
N: 0.908 0.705 0.600

Output
Calculated total energy, eV per atom: -7.737
Calculated density, Mg/m³: 8.18
Density of states at the Fermi level, states/eV/cell: 4.939

---

Entry 4:
Material: Sm3CN
Method: DFT, PBE
State: optimized geometry

a b c (Å): 6.553 6.553 6.576
angles (deg): 100.02 100.02 121.61
Element x y z (fractional)
Sm: 0.082 0.425 0.774
Sm: 0.244 0.244 0.275
Sm: 0.425 0.082 0.774
Sm: 0.575 0.918 0.226
Sm: 0.756 0.756 0.725
Sm: 0.918 0.575 0.226
C: 0.163 0.837 0.000
C: 0.837 0.163 0.000
N: 0.383 0.383 0.682
N: 0.617 0.617 0.318

Output
Calculated total energy, eV per atom: -6.828
Calculated density, Mg/m³: 7.05
Density of states at the Fermi level, states/eV/cell: 5.191

---

Entry 5:
Material: Sm2CN
Method: DFT, PBE
State: optimized geometry

a b c (Å): 3.624 3.624 18.154
angles (deg): 90.00 90.00 120.00
Element x y z (fractional)
Sm: 0.000 0.000 0.247
Sm: 0.000 0.000 0.753
Sm: 0.333 0.667 0.420
Sm: 0.333 0.667 0.914
Sm: 0.667 0.333 0.086
Sm: 0.667 0.333 0.580
C: 0.000 0.000 0.000
C: 0.333 0.667 0.667
C: 0.667 0.333 0.333
N: 0.000 0.000 0.500
N: 0.333 0.667 0.167
N: 0.667 0.333 0.833

Output
Calculated total energy, eV per atom: -7.344
Calculated density, Mg/m³: 7.88
Density of states at the Fermi level, states/eV/cell: 9.283

---

Entry 6:
Material: SrSm2C2N6
Method: DFT, PBE
State: optimized geometry

a b c (Å): 5.912 5.912 6.309
angles (deg): 111.67 111.67 66.05
Element x y z (fractional)
Sr: 0.000 0.000 0.000
Sm: 0.327 0.327 0.687
Sm: 0.673 0.673 0.313
C: 0.320 0.320 0.233
C: 0.680 0.680 0.767
N: 0.092 0.443 0.288
N: 0.415 0.415 0.131
N: 0.443 0.092 0.288
N: 0.557 0.908 0.712
N: 0.585 0.585 0.869
N: 0.908 0.557 0.712

Output
Calculated total energy, eV per atom: -7.749
Calculated density, Mg/m³: 4.56
Density of states at the Fermi level, states/eV/cell: 2.757

---

Entry 7:
Material: SrSmC3N6
Method: DFT, PBE
State: optimized geometry

a b c (Å): 6.275 6.275 6.275
angles (deg): 64.51 64.51 64.51
Element x y z (fractional)
Sr: 0.000 0.000 0.000
Sm: 0.500 0.500 0.500
C: 0.000 0.500 0.500
C: 0.500 0.000 0.500
C: 0.500 0.500 0.000
N: 0.102 0.424 0.661
N: 0.339 0.898 0.576
N: 0.424 0.661 0.102
N: 0.576 0.339 0.898
N: 0.661 0.102 0.424
N: 0.898 0.576 0.339

Output
Calculated total energy, eV per atom: -8.073
Calculated density, Mg/m³: 3.10
Density of states at the Fermi level, states/eV/cell: 7.395

---

Entry 8:
Material: Tb2Sm2CN2
Method: DFT, PBE
State: optimized geometry

a b c (Å): 13.449 3.551 6.138
angles (deg): 90.00 115.86 90.00
Element x y z (fractional)
Tb: 0.137 0.000 0.316
Tb: 0.363 0.500 0.684
Tb: 0.637 0.500 0.316
Tb: 0.863 0.000 0.684
Sm: 0.127 0.500 0.787
Sm: 0.373 0.000 0.213
Sm: 0.627 0.000 0.787
Sm: 0.873 0.500 0.213
C: 0.000 0.000 0.500
C: 0.500 0.500 0.500
N: 0.237 0.500 0.256
N: 0.263 0.000 0.744
N: 0.737 0.000 0.256
N: 0.763 0.500 0.744

Output
Calculated total energy, eV per atom: -7.249
Calculated density, Mg/m³: 8.29
Density of states at the Fermi level, states/eV/cell: 4.667

---

Entry 9:
Material: Sm3TeCN
Method: DFT, PBE
State: optimized geometry

a b c (Å): 7.545 3.977 10.182
angles (deg): 90.00 110.77 90.00
Element x y z (fractional)
Sm: 0.026 0.250 0.367
Sm: 0.295 0.250 0.940
Sm: 0.423 0.750 0.674
Sm: 0.577 0.250 0.326
Sm: 0.705 0.750 0.060
Sm: 0.974 0.750 0.633
Te: 0.202 0.750 0.195
Te: 0.798 0.250 0.805
C: 0.192 0.250 0.612
C: 0.808 0.750 0.388
N: 0.404 0.750 0.884
N: 0.596 0.250 0.116

Output
Calculated total energy, eV per atom: -6.788
Calculated density, Mg/m³: 7.03

---

Entry 10:
Material: Sm6Te3C2N
Method: DFT, PBE
State: optimized geometry

a b c (Å): 6.765 6.765 7.499
angles (deg): 98.65 98.65 119.99
Element x y z (fractional)
Sm: 0.063 0.396 0.190
Sm: 0.269 0.269 0.809
Sm: 0.396 0.063 0.190
Sm: 0.604 0.937 0.810
Sm: 0.731 0.731 0.191
Sm: 0.937 0.604 0.810
Te: 0.167 0.833 0.500
Te: 0.500 0.500 0.500
Te: 0.833 0.167 0.500
C: 0.333 0.667 0.000
C: 0.667 0.333 0.000
N: 0.000 0.000 0.000

Output
Calculated total energy, eV per atom: -6.373
Calculated density, Mg/m³: 7.75
Density of states at the Fermi level, states/eV/cell: 2.798

---

Entry 11:
Material: Sm8Te4C3N
Method: DFT, PBE
State: optimized geometry

a b c (Å): 8.460 8.460 8.460
angles (deg): 55.15 55.15 55.15
Element x y z (fractional)
Sm: 0.229 0.730 0.730
Sm: 0.231 0.231 0.231
Sm: 0.270 0.270 0.771
Sm: 0.270 0.771 0.270
Sm: 0.730 0.229 0.730
Sm: 0.730 0.730 0.229
Sm: 0.769 0.769 0.769
Sm: 0.771 0.270 0.270
Te: 0.000 0.000 0.000
Te: 0.000 0.500 0.500
Te: 0.500 0.000 0.500
Te: 0.500 0.500 0.000
C: 0.000 0.000 0.500
C: 0.000 0.500 0.000
C: 0.500 0.000 0.000
N: 0.500 0.500 0.500

Output
Calculated total energy, eV per atom: -6.342
Calculated density, Mg/m³: 7.71
Density of states at the Fermi level, states/eV/cell: 2.453

---

Entry 12:
Material: SnCN2
Method: DFT, PBE
State: optimized geometry

a b c (Å): 4.979 4.979 6.530
angles (deg): 90.00 90.00 90.00
Element x y z (fractional)
Sn: 0.000 0.000 0.000
Sn: 0.000 0.500 0.250
Sn: 0.500 0.000 0.750
Sn: 0.500 0.500 0.500
C: 0.000 0.000 0.500
C: 0.000 0.500 0.750
C: 0.500 0.000 0.250
C: 0.500 0.500 0.000
N: 0.093 0.250 0.625
N: 0.250 0.593 0.875
N: 0.250 0.907 0.375
N: 0.407 0.250 0.125
N: 0.593 0.750 0.125
N: 0.750 0.093 0.375
N: 0.750 0.407 0.875
N: 0.907 0.750 0.625

Output
Calculated total energy, eV per atom: -6.386
Calculated density, Mg/m³: 6.51
Density of states at the Fermi level, states/eV/cell: 0.830